No. 1
# SrLa8Co4 PBE-GGA relaxed
# M_tot ... 0.000 μB/f.u.
# ΔH_f (0 K) ... -0.098 eV per atom
# Raw total energy ... -0.400 Ry/atom
# N(E_F) ... 0.874 states/eV/atom
data_SrLa8Co4
_chemical_formula_sum 'Sr2 La16 Co8'
_cell_length_a 14.166
_cell_length_b 14.166
_cell_length_c 4.171
_cell_angle_alpha 90.00
_cell_angle_beta 90.00
_cell_angle_gamma 90.00
_symmetry_space_group_name_H-M 'I 4/m'
_symmetry_Int_Tables_number 87
_symmetry_space_group_name_Hall '-I 4'
loop_
_atom_site_label
_atom_site_type_symbol
_atom_site_fract_x
_atom_site_fract_y
_atom_site_fract_z
Sr1 Sr 0.000 0.000 0.000
La1 La 0.044 0.664 0.000
La2 La 0.151 0.197 0.500
Co1 Co 0.150 0.328 0.000

=====

No. 2
# Sr2LaCo PBE-GGA relaxed
# M_tot ... 0.000 μB/f.u.
# ΔH_f (0 K) ... 0.126 eV per atom
# Raw total energy ... -0.274 Ry/atom
# Excess energy over the best structure of this formula in the dataset ... 30 meV per atom
# N(E_F) ... 0.741 states/eV/atom
data_Sr2LaCo
_chemical_formula_sum 'Sr4 La2 Co2'
_cell_length_a 3.795
_cell_length_b 6.333
_cell_length_c 11.746
_cell_angle_alpha 90.00
_cell_angle_beta 90.00
_cell_angle_gamma 90.00
_symmetry_space_group_name_H-M 'I m m 2'
_symmetry_Int_Tables_number 44
loop_
_symmetry_equiv_pos_as_xyz
'x,y,z'
'-x,-y,z'
'-x,y,z'
'x,-y,z'
'x+1/2,y+1/2,z+1/2'
'-x+1/2,-y+1/2,z+1/2'
'-x+1/2,y+1/2,z+1/2'
'x+1/2,-y+1/2,z+1/2'
loop_
_atom_site_label
_atom_site_type_symbol
_atom_site_fract_x
_atom_site_fract_y
_atom_site_fract_z
Sr1 Sr 0.000 0.000 0.000
Sr2 Sr 0.000 0.500 0.174
La1 La 0.000 0.000 0.344
Co1 Co 0.000 0.500 0.708

=====

No. 3
# Sr2LaCo PBE-GGA relaxed
# M_tot ... 1.483 μB/f.u.
# ΔH_f (0 K) ... 0.464 eV per atom
# Raw total energy ... -0.249 Ry/atom
# Excess energy over the best structure of this formula in the dataset ... 367 meV per atom
# N(E_F) ... 1.262 states/eV/atom
data_Sr2LaCo
_chemical_formula_sum 'Sr6 La3 Co3'
_cell_length_a 3.9091
_cell_length_b 3.9091
_cell_length_c 32.7967
_cell_angle_alpha 90.00
_cell_angle_beta 90.00
_cell_angle_gamma 120.00
_symmetry_space_group_name_H-M 'R -3 m'
_symmetry_Int_Tables_number 166
_symmetry_space_group_name_Hall '-R 3 2"'
loop_
_atom_site_label
_atom_site_type_symbol
_atom_site_fract_x
_atom_site_fract_y
_atom_site_fract_z
Sr1 Sr 0.0000 0.0000 0.2265
La1 La 0.0000 0.0000 0.0000
Co1 Co 0.0000 0.0000 0.5000

=====

No. 4
# SrLa2Co PBE-GGA relaxed
# M_tot ... 0.000 μB/f.u.
# ΔH_f (0 K) ... 0.151 eV per atom
# Raw total energy ... -0.331 Ry/atom
# Excess energy over the best structure of this formula in the dataset ... 223 meV per atom
# N(E_F) ... 0.862 states/eV/atom
data_SrLa2Co
_chemical_formula_sum 'Sr1 La2 Co1'
_cell_length_a 3.630
_cell_length_b 3.630
_cell_length_c 9.457
_cell_angle_alpha 90.00
_cell_angle_beta 90.00
_cell_angle_gamma 90.00
_symmetry_space_group_name_H-M 'P 4 m m'
_symmetry_Int_Tables_number 99
loop_
_symmetry_equiv_pos_as_xyz
'x,y,z'
'-y,x,z'
'-x,-y,z'
'y,-x,z'
'-x,y,z'
'y,x,z'
'x,-y,z'
'-y,-x,z'
loop_
_atom_site_label
_atom_site_type_symbol
_atom_site_fract_x
_atom_site_fract_y
_atom_site_fract_z
Sr1 Sr 0.000 0.000 0.000
La1 La 0.000 0.000 0.357
La2 La 0.500 0.500 0.654
Co1 Co 0.500 0.500 0.232